The following is a GGA-PBEsol calculation of a relaxed structure of TlP, from Alexandria.

Summary:
- Raw total energy: -3.971 eV/atom

CIF file:
```
data_TlP
_space_group_name_H-M_alt 'P 1'
_space_group_IT_number 1
_cell_length_a 4.2303
_cell_length_b 4.2303
_cell_length_c 6.9525
_cell_angle_alpha 90.00
_cell_angle_beta 90.00
_cell_angle_gamma 120.00
loop_
_space_group_symop_operation_xyz
'x,y,z'
loop_
_atom_site_label
_atom_site_type_symbol
_atom_site_fract_x
_atom_site_fract_y
_atom_site_fract_z
P1 P 0.6667 0.3333 0.0017
P2 P 0.3333 0.6667 0.5017
Tl1 Tl 0.6667 0.3333 0.6273
Tl2 Tl 0.3333 0.6667 0.1273
```